(1)
Computed, not measured: a geometry-optimized TbTm3Tl structure at the GGA-PBE level of DFT.

Results
Formation energy (eV per atom): -0.110
Distance to the lowest polymorph of the same formula (kJ/mol of atoms): 0.0
Total moment (μB/f.u.): 0.2

The structure in extended XYZ format:
```
10
Lattice="2.387 -12.605 0.000 2.387 12.605 0.000 0.000 0.000 4.747" Properties=species:S:1:pos:R:3 pbc="T T T"
Tb 2.387 8.852 3.561
Tb 2.387 -8.852 1.187
Tm 2.387 11.425 1.187
Tm 2.387 6.278 1.187
Tm 2.387 1.292 1.187
Tm 2.387 -1.292 3.561
Tm 2.387 -6.278 3.561
Tm 2.387 -11.425 3.561
Tl 2.387 3.820 3.561
Tl 2.387 -3.820 1.187
```



(2)
Computed, not measured: a geometry-optimized TbTm3Tl4 structure at the GGA-PBE level of DFT.

Results
Formation energy (eV per atom): -0.187
Distance to the lowest polymorph of the same formula (kJ/mol of atoms): 11.6
Total moment (μB/f.u.): 0.2

The structure in extended XYZ format:
```
8
Lattice="-1.746 3.568 9.204 1.746 -3.568 9.204 1.746 3.568 -9.204" Properties=species:S:1:pos:R:3 pbc="T T T"
Tb 0.000 0.000 0.000
Tm 1.746 0.000 4.061
Tm 0.000 0.000 9.204
Tm 0.000 3.568 5.143
Tl 1.746 -1.548 6.854
Tl 0.000 2.020 2.350
Tl 1.746 1.548 6.854
Tl 0.000 5.116 2.350
```



(3)
Computed, not measured: a geometry-optimized TbTm5Tl6 structure at the GGA-PBE level of DFT.

Results
Formation energy (eV per atom): -0.300
Distance to the lowest polymorph of the same formula (kJ/mol of atoms): 0.0
Total moment (μB/f.u.): 0.0

The structure in extended XYZ format:
```
12
Lattice="4.596 -8.007 0.000 4.596 8.007 0.000 -3.079 0.000 4.350" Properties=species:S:1:pos:R:3 pbc="T T T"
Tb 0.000 0.000 0.000
Tm 3.057 5.355 2.175
Tm 4.596 2.671 0.000
Tm 3.057 0.000 2.175
Tm 4.596 -2.671 0.000
Tm 3.057 -5.355 2.175
Tl 1.541 2.690 1.095
Tl 0.010 0.000 3.279
Tl 1.541 -2.690 1.095
Tl 4.573 2.690 3.255
Tl 6.104 0.000 1.071
Tl 4.573 -2.690 3.255
```



(4)
Computed, not measured: a geometry-optimized Tb4Tm15Tl structure at the GGA-PBE level of DFT.

Results
Formation energy (eV per atom): -0.011
Total moment (μB/f.u.): 0.0

The structure in extended XYZ format:
```
20
Lattice="4.909 0.000 0.000 0.000 4.909 0.000 0.000 0.000 24.819" Properties=species:S:1:pos:R:3 pbc="T T T"
Tb 0.000 0.000 2.511
Tb 0.000 0.000 7.489
Tb 0.000 0.000 17.330
Tb 0.000 0.000 22.308
Tm 0.000 2.454 0.000
Tm 0.000 2.454 5.006
Tm 0.000 2.454 9.991
Tm 0.000 2.454 14.828
Tm 0.000 2.454 19.813
Tm 2.454 0.000 0.000
Tm 2.454 0.000 5.006
Tm 2.454 0.000 9.991
Tm 2.454 0.000 14.828
Tm 2.454 0.000 19.813
Tm 2.454 2.454 2.516
Tm 2.454 2.454 7.567
Tm 2.454 2.454 12.409
Tm 2.454 2.454 17.251
Tm 2.454 2.454 22.303
Tl 0.000 0.000 12.409
```



(5)
Computed, not measured: a geometry-optimized Tb12Tm2Tl structure at the GGA-PBE level of DFT.

Results
Formation energy (eV per atom): 0.071
Total moment (μB/f.u.): 0.0

The structure in extended XYZ format:
```
15
Lattice="3.579 0.000 0.000 0.000 5.614 0.000 -0.255 0.000 23.687" Properties=species:S:1:pos:R:3 pbc="T T T"
Tb 0.739 0.000 3.027
Tb 0.784 2.807 4.647
Tb 0.767 2.807 7.712
Tb 0.768 0.000 9.996
Tb 0.769 2.807 13.189
Tb 0.716 2.807 22.079
Tb 2.607 2.807 1.608
Tb 2.555 2.807 10.498
Tb 2.556 0.000 13.691
Tb 2.557 2.807 15.975
Tb 2.540 2.807 19.040
Tb 2.584 0.000 20.660
Tm 0.768 0.000 17.373
Tm 2.555 0.000 6.315
Tl 1.790 0.000 0.000
```



(6)
Computed, not measured: a geometry-optimized Tb2Tm8Tl structure at the GGA-PBE level of DFT.

Results
Formation energy (eV per atom): -0.026
Total moment (μB/f.u.): 0.0

The structure in extended XYZ format:
```
11
Lattice="9.589 -2.739 0.000 9.589 2.739 0.000 -0.591 0.000 6.311" Properties=species:S:1:pos:R:3 pbc="T T T"
Tb 4.482 0.000 2.104
Tb 14.105 0.000 4.207
Tm 0.708 0.000 1.710
Tm 2.466 0.000 5.078
Tm 5.976 0.000 5.529
Tm 7.845 0.000 2.539
Tm 10.742 0.000 3.772
Tm 12.612 0.000 0.783
Tm 16.121 0.000 1.234
Tm 17.879 0.000 4.602
Tl 9.589 0.000 0.000
```



(7)
Computed, not measured: a geometry-optimized TbTm2Tl structure at the GGA-PBE level of DFT.

Results
Formation energy (eV per atom): 0.010
Distance to the lowest polymorph of the same formula (kJ/mol of atoms): 17.3
Total moment (μB/f.u.): 1.4

The structure in extended XYZ format:
```
4
Lattice="0.000 3.834 3.834 3.834 0.000 3.834 3.834 3.834 0.000" Properties=species:S:1:pos:R:3 pbc="T T T"
Tb 0.000 0.000 0.000
Tm 1.917 1.917 1.917
Tm 5.750 5.750 5.750
Tl 3.834 3.834 3.834
```



(8)
Computed, not measured: a geometry-optimized TbTm6Tl4 structure at the GGA-PBE level of DFT.

Results
Formation energy (eV per atom): -0.093
Total moment (μB/f.u.): 0.0

The structure in extended XYZ format:
```
11
Lattice="-3.138 3.138 8.360 3.138 -3.138 8.360 3.138 3.138 -8.360" Properties=species:S:1:pos:R:3 pbc="T T T"
Tb 0.000 0.000 0.000
Tm 3.138 0.000 0.000
Tm 1.478 -1.478 5.346
Tm 1.660 1.660 3.014
Tm 0.000 3.138 0.000
Tm -1.478 1.478 5.346
Tm 1.478 1.478 11.374
Tl 1.529 1.529 -2.269
Tl 1.609 -1.609 10.629
Tl 1.609 1.609 6.091
Tl -1.609 1.609 10.629
```